Compound: LiCdSCl2
Source: Alexandria via LeMat-Bulk
Functional: PBE
Structure: relaxed

Results
- ΔE to the lowest computed polymorph (meV/atom) = 146.6

```
data_LiCdSCl2
_chemical_formula_sum 'Li1 Cd1 S1 Cl2'
_cell_length_a 4.431
_cell_length_b 4.431
_cell_length_c 5.425
_cell_angle_alpha 90.00
_cell_angle_beta 90.00
_cell_angle_gamma 90.00
_space_group_name_H-M_alt 'P 4/m m m'
_space_group_IT_number 123
_space_group_name_Hall '-P 4 2'
loop_
_atom_site_label
_atom_site_type_symbol
_atom_site_fract_x
_atom_site_fract_y
_atom_site_fract_z
Li1 Li 0.000 0.000 0.000
Cd1 Cd 0.500 0.500 0.500
S1 S 0.000 0.000 0.500
Cl1 Cl 0.000 0.500 0.000
```

Compound: LiSc2CdCl
Source: Alexandria via LeMat-Bulk
Functional: PBE
Structure: relaxed

```
data_LiSc2CdCl
_chemical_formula_sum 'Li1 Sc2 Cd1 Cl1'
_cell_length_a 5.074
_cell_length_b 5.074
_cell_length_c 4.672
_cell_angle_alpha 90.00
_cell_angle_beta 90.00
_cell_angle_gamma 90.00
_space_group_name_H-M_alt 'P 4/m m m'
_space_group_IT_number 123
_space_group_name_Hall '-P 4 2'
loop_
_atom_site_label
_atom_site_type_symbol
_atom_site_fract_x
_atom_site_fract_y
_atom_site_fract_z
Li1 Li 0.000 0.000 0.000
Sc1 Sc 0.000 0.500 0.000
Cd1 Cd 0.000 0.000 0.500
Cl1 Cl 0.500 0.500 0.500
```

Compound: LiCdSeCl
Source: Alexandria via LeMat-Bulk
Functional: PBE
Structure: relaxed

```
data_LiCdSeCl
_chemical_formula_sum 'Li3 Cd3 Se3 Cl3'
_cell_length_a 4.2804
_cell_length_b 4.2804
_cell_length_c 20.2899
_cell_angle_alpha 90.00
_cell_angle_beta 90.00
_cell_angle_gamma 120.00
_space_group_name_H-M_alt 'R 3 m'
_space_group_IT_number 160
_space_group_name_Hall 'R 3 -2"'
loop_
_atom_site_label
_atom_site_type_symbol
_atom_site_fract_x
_atom_site_fract_y
_atom_site_fract_z
Li1 Li 0.0000 0.0000 0.0000
Cd1 Cd 0.0000 0.0000 0.5017
Se1 Se 0.0000 0.0000 0.1271
Cl1 Cl 0.0000 0.0000 0.6350
```

Compound: SrLi2CdCl6
Source: Alexandria via LeMat-Bulk
Functional: PBE
Structure: relaxed

```
data_SrLi2CdCl6
_chemical_formula_sum 'Sr4 Li8 Cd4 Cl24'
_cell_length_a 12.532
_cell_length_b 12.184
_cell_length_c 7.064
_cell_angle_alpha 90.00
_cell_angle_beta 100.68
_cell_angle_gamma 90.00
_space_group_name_H-M_alt 'C 1 2/c 1'
_space_group_IT_number 15
loop_
_space_group_symop_operation_xyz
'x,y,z'
'-x,-y,-z'
'-x,y,-z+1/2'
'x,-y,z+1/2'
'x+1/2,y+1/2,z'
'-x+1/2,-y+1/2,-z'
'-x+1/2,y+1/2,-z+1/2'
'x+1/2,-y+1/2,z+1/2'
loop_
_atom_site_label
_atom_site_type_symbol
_atom_site_fract_x
_atom_site_fract_y
_atom_site_fract_z
Sr1 Sr 0.000 0.099 0.250
Li1 Li 0.182 0.418 0.297
Cd1 Cd 0.000 0.296 0.750
Cl1 Cl 0.117 0.265 0.088
Cl2 Cl 0.120 0.094 0.643
Cl3 Cl 0.139 0.417 0.617
```

Compound: Sr2LiCdCl
Source: Alexandria via LeMat-Bulk
Functional: PBE
Structure: relaxed

```
data_Sr2LiCdCl
_chemical_formula_sum 'Sr2 Li1 Cd1 Cl1'
_cell_length_a 5.935
_cell_length_b 5.935
_cell_length_c 4.521
_cell_angle_alpha 90.00
_cell_angle_beta 90.00
_cell_angle_gamma 90.00
_space_group_name_H-M_alt 'P 4/m m m'
_space_group_IT_number 123
_space_group_name_Hall '-P 4 2'
loop_
_atom_site_label
_atom_site_type_symbol
_atom_site_fract_x
_atom_site_fract_y
_atom_site_fract_z
Sr1 Sr 0.000 0.500 0.000
Li1 Li 0.000 0.000 0.500
Cd1 Cd 0.500 0.500 0.500
Cl1 Cl 0.000 0.000 0.000
```

Compound: LiTbCdCl6
Source: Alexandria via LeMat-Bulk
Functional: PBE
Structure: relaxed

```
data_LiTbCdCl6
_chemical_formula_sum 'Li2 Tb2 Cd2 Cl12'
_cell_length_a 6.6983
_cell_length_b 6.6983
_cell_length_c 11.9618
_cell_angle_alpha 90.00
_cell_angle_beta 90.00
_cell_angle_gamma 120.00
_space_group_name_H-M_alt 'P -3 1 c'
_space_group_IT_number 163
_space_group_name_Hall '-P 3 2c'
loop_
_atom_site_label
_atom_site_type_symbol
_atom_site_fract_x
_atom_site_fract_y
_atom_site_fract_z
Li1 Li 0.0000 0.0000 0.0000
Tb1 Tb 0.3333 0.6667 0.2500
Cd1 Cd 0.3333 0.6667 0.7500
Cl1 Cl 0.9996 0.3372 0.6255
```

Compound: LiTlCd2Cl6
Source: Alexandria via LeMat-Bulk
Functional: PBE
Structure: relaxed

```
data_LiTlCd2Cl6
_chemical_formula_sum 'Li4 Tl4 Cd8 Cl24'
_cell_length_a 13.697
_cell_length_b 13.279
_cell_length_c 7.791
_cell_angle_alpha 90.00
_cell_angle_beta 111.49
_cell_angle_gamma 90.00
_space_group_name_H-M_alt 'C 1 2/c 1'
_space_group_IT_number 15
loop_
_space_group_symop_operation_xyz
'x,y,z'
'-x,-y,-z'
'-x,y,-z+1/2'
'x,-y,z+1/2'
'x+1/2,y+1/2,z'
'-x+1/2,-y+1/2,-z'
'-x+1/2,y+1/2,-z+1/2'
'x+1/2,-y+1/2,z+1/2'
loop_
_atom_site_label
_atom_site_type_symbol
_atom_site_fract_x
_atom_site_fract_y
_atom_site_fract_z
Li1 Li 0.000 0.193 0.250
Tl1 Tl 0.000 0.129 0.750
Cd1 Cd 0.188 0.422 0.676
Cl1 Cl 0.115 0.258 0.536
Cl2 Cl 0.116 0.074 0.179
Cl3 Cl 0.131 0.432 0.955
```

Compound: LiTl2CdCl5
Source: Alexandria via LeMat-Bulk
Functional: PBE
Structure: relaxed

```
data_LiTl2CdCl5
_chemical_formula_sum 'Li4 Tl8 Cd4 Cl20'
_cell_length_a 4.085
_cell_length_b 18.183
_cell_length_c 13.639
_cell_angle_alpha 90.00
_cell_angle_beta 90.00
_cell_angle_gamma 90.00
_space_group_name_H-M_alt 'C m c 21'
_space_group_IT_number 36
loop_
_space_group_symop_operation_xyz
'x,y,z'
'-x,-y,z+1/2'
'-x,y,z'
'x,-y,z+1/2'
'x+1/2,y+1/2,z'
'-x+1/2,-y+1/2,z+1/2'
'-x+1/2,y+1/2,z'
'x+1/2,-y+1/2,z+1/2'
loop_
_atom_site_label
_atom_site_type_symbol
_atom_site_fract_x
_atom_site_fract_y
_atom_site_fract_z
Li1 Li 0.000 0.061 0.000
Tl1 Tl 0.000 0.370 0.873
Tl2 Tl 0.000 0.400 0.233
Cd1 Cd 0.000 0.292 0.582
Cl1 Cl 0.000 0.000 0.350
Cl2 Cl 0.000 0.150 0.560
Cl3 Cl 0.000 0.191 0.951
Cl4 Cl 0.000 0.216 0.212
Cl5 Cl 0.000 0.439 0.592
```

| no. | E_form (uncorrected) (meV/atom) |
| --- | --- |
| 1 | -394.9 |
| 2 | 201.8 |
| 3 | -1131.4 |
| 4 | -1765.4 |
| 5 | -729.0 |
| 6 | -1745.0 |
| 7 | -1194.5 |
| 8 | -1223.7 |